Material: TcCl
Method: DFT, PBEsol
State: relaxed

Computed properties:
For the energy above the lowest structure with this stoichiometry, the calculation gives 0.000 eV/atom. Its formation energy from raw total energies is -36 kJ/mol of formula units.

POSCAR file:
```
TcCl
1.0
-1.3744 1.2683 -2.3132
0.6326 -2.9061 -0.0566
-7.6241 -1.7295 3.5818
Tc Cl
2 2
Cartesian
-4.7073 -2.5742 1.3855
-3.6587 -0.7931 -0.1736
-1.4285 -1.8304 -0.1548
-6.9374 -1.5369 1.3667
```

---

Material: CsMgSbI2
Method: DFT, PBEsol
State: relaxed

Computed properties:
Its formation energy from raw total energies is -287 kJ/mol of formula units.

POSCAR file:
```
CsMgSbI2
1.0
5.6016 0.0000 0.0000
0.0000 5.9652 0.0000
0.0000 0.0000 5.9652
Cs I Mg Sb
1 2 1 1
Cartesian
2.8008 2.9826 2.9826
0.0000 0.0000 2.9826
0.0000 2.9826 0.0000
0.0000 0.0000 0.0000
2.8008 0.0000 0.0000
```

---

Material: CdAg2Te
Method: DFT, PBEsol
State: relaxed

Computed properties:
For the energy above the lowest structure with this stoichiometry, the calculation gives 0.106 eV/atom. Its formation energy from raw total energies is 44 kJ/mol of formula units.

POSCAR file:
```
CdAg2Te
1.0
3.0762 0.0000 0.0000
0.0000 3.0762 0.0000
0.0000 0.0000 8.6812
Te Ag Cd
1 2 1
Cartesian
1.5381 1.5381 4.3406
0.0000 0.0000 6.7433
0.0000 0.0000 1.9379
1.5381 1.5381 0.0000
```

---

Material: TiBe2Co
Method: DFT, PBEsol
State: relaxed

Computed properties:
For the energy of formation from the pure elements, the calculation gives -0.258 eV/atom.

POSCAR file:
```
TiBe2Co
1.0
3.8493 0.0000 0.0000
1.9247 3.3336 0.0000
1.9247 1.1112 3.1429
Be Co Ti
2 1 1
Cartesian
1.9247 1.1112 0.7857
5.7740 3.3336 2.3572
3.8493 2.2224 1.5715
0.0000 0.0000 0.0000
```

---

Material: CeNi2Sb2
Method: DFT, PBEsol
State: relaxed

Computed properties:
Its formation energy from raw total energies is -306 kJ/mol of formula units.

POSCAR file:
```
CeNi2Sb2
1.0
4.4426 0.0000 0.0000
0.0000 4.4426 0.0000
0.0000 0.0000 9.6349
Sb Ce Ni
4 2 4
Cartesian
0.0000 2.2213 3.6018
2.2213 2.2213 0.0000
0.0000 0.0000 0.0000
2.2213 0.0000 6.0331
2.2213 0.0000 2.5267
0.0000 2.2213 7.1083
2.2213 0.0000 8.4786
2.2213 2.2213 4.8175
0.0000 2.2213 1.1563
0.0000 0.0000 4.8175
```

---

Material: CdRe2Te
Method: DFT, PBEsol
State: relaxed

Computed properties:
For the energy above the lowest structure with this stoichiometry, the calculation gives 0.218 eV/atom. Its formation energy from raw total energies is 325 kJ/mol of formula units.

POSCAR file:
```
CdRe2Te
1.0
3.0234 0.0000 0.0000
1.5117 2.6183 0.0000
1.5117 0.8728 8.7387
Re Te Cd
2 1 1
Cartesian
1.5117 0.8728 2.3308
4.5351 2.6183 6.4079
3.0234 1.7456 4.3693
0.0000 0.0000 0.0000
```

---

Material: DyTlO2
Method: DFT, PBEsol
State: relaxed

Computed properties:
Its formation energy from raw total energies is -922 kJ/mol of formula units.

POSCAR file:
```
DyTlO2
1.0
3.4544 0.0000 0.0000
1.7272 2.9916 0.0000
1.7272 0.9972 6.3706
Tl O Dy
1 2 1
Cartesian
0.0000 0.0000 0.0000
1.7272 0.9972 2.0786
5.1816 2.9916 4.2920
3.4544 1.9944 3.1853
```

---

Material: Mn2OsBr
Method: DFT, PBEsol
State: relaxed

Computed properties:
For the energy above the lowest structure with this stoichiometry, the calculation gives 0.000 eV/atom. Its formation energy from raw total energies is 212 kJ/mol of formula units.

POSCAR file:
```
Mn2OsBr
1.0
-0.8952 2.2828 1.7660
0.8344 0.0814 2.9031
6.4356 4.8432 -0.4129
Br Mn Os
1 2 1
Cartesian
3.1874 3.6037 2.1281
4.8449 5.4456 3.1727
1.5299 1.7618 1.0835
0.0000 0.0000 0.0000
```

---

Material: ZnHg2Mo
Method: DFT, PBEsol
State: relaxed

Computed properties:
For the energy of formation from the pure elements, the calculation gives 0.627 eV/atom.

POSCAR file:
```
ZnHg2Mo
1.0
4.6435 0.0000 0.0000
2.3217 4.0214 0.0000
2.3217 1.3405 3.7914
Hg Mo Zn
2 1 1
Cartesian
0.0000 0.0000 0.0000
2.3217 1.3405 0.9478
4.6435 2.6809 1.8957
6.9652 4.0214 2.8435
```

---

Material: V2NiSe4
Method: DFT, PBEsol
State: relaxed

Computed properties:
For the energy above the lowest structure with this stoichiometry, the calculation gives 0.105 eV/atom. Its formation energy from raw total energies is -371 kJ/mol of formula units.

POSCAR file:
```
V2NiSe4
1.0
3.3966 0.0054 -0.0322
1.6921 2.9451 -0.0322
0.1212 0.0703 11.7770
V Ni Se
2 1 4
Cartesian
5.1175 2.9672 2.8724
0.0923 0.0535 8.8402
0.0000 0.0000 0.0000
3.4060 1.9749 1.3666
1.8038 1.0459 10.3459
1.7392 1.0084 4.4367
3.4707 2.0123 7.2758
```

---

Material: HoLuIn2
Method: DFT, PBEsol
State: relaxed

Computed properties:
For the energy of formation from the pure elements, the calculation gives -0.476 eV/atom.

POSCAR file:
```
HoLuIn2
1.0
-0.3403 -2.5436 -4.4848
4.0360 -0.1024 -3.2248
2.6447 -4.3850 -0.6903
Lu Ho In
1 1 2
Cartesian
0.0000 0.0000 0.0000
3.1702 -3.5155 -4.2000
1.5851 -1.7577 -2.1000
4.7554 -5.2732 -6.2999
```

---

Material: MgAlAu2
Method: DFT, PBEsol
State: relaxed

Computed properties:
For the energy of formation from the pure elements, the calculation gives -0.468 eV/atom.

POSCAR file:
```
MgAlAu2
1.0
-2.6453 1.7974 -0.9141
-1.2680 0.3046 4.2686
4.0599 2.8082 -0.1752
Mg Au Al
1 2 1
Cartesian
-1.9938 1.0927 1.8667
-0.0259 0.0762 0.2248
0.4486 2.0293 2.6923
-0.2390 2.7630 0.0729
```

---

Material: LaW2Cl
Method: DFT, PBEsol
State: relaxed

Computed properties:
For the energy above the lowest structure with this stoichiometry, the calculation gives 0.659 eV/atom. Its formation energy from raw total energies is 340 kJ/mol of formula units.

POSCAR file:
```
LaW2Cl
1.0
2.9100 0.0000 0.0000
1.4550 2.5202 0.0000
1.4550 0.8401 10.0023
Cl W La
1 2 1
Cartesian
2.9100 1.6801 5.0011
1.4550 0.8401 2.9299
4.3651 2.5202 7.0724
0.0000 0.0000 0.0000
```

---

Material: ZrSc2Tc
Method: DFT, PBEsol
State: relaxed

Computed properties:
For the energy above the lowest structure with this stoichiometry, the calculation gives 0.558 eV/atom. For the energy of formation from the pure elements, the calculation gives 0.403 eV/atom.

POSCAR file:
```
ZrSc2Tc
1.0
-1.6803 2.0193 1.4869
0.1908 0.2017 3.0058
6.8430 7.5259 0.5765
Sc Tc Zr
2 1 1
Cartesian
0.2738 3.8513 4.2714
5.0796 5.8956 0.7978
0.0000 0.0000 0.0000
2.6767 4.8734 2.5346
```

---

Material: YZr3S
Method: DFT, PBEsol
State: relaxed

Computed properties:
Its formation energy from raw total energies is -293 kJ/mol of formula units.

POSCAR file:
```
YZr3S
1.0
4.8792 0.0000 0.0000
0.0000 4.8792 0.0000
0.0000 0.0000 4.8792
Y S Zr
1 1 3
Cartesian
2.4396 2.4396 2.4396
0.0000 0.0000 0.0000
0.0000 2.4396 0.0000
0.0000 0.0000 2.4396
2.4396 0.0000 0.0000
```

---

Material: CaTa2Tl
Method: DFT, PBEsol
State: relaxed

Computed properties:
For the energy above the lowest structure with this stoichiometry, the calculation gives 0.032 eV/atom. For the energy of formation from the pure elements, the calculation gives 0.578 eV/atom.

POSCAR file:
```
CaTa2Tl
1.0
-0.1520 1.6716 -2.7528
-5.1852 0.8209 0.7847
3.7364 3.0570 3.5382
Tl Ca Ta
1 1 2
Cartesian
-2.6276 1.4116 -0.8859
0.4478 2.9468 -0.1234
-1.6658 5.2875 1.4146
-2.0246 2.6994 1.7510
```

---

Material: CsGaSe3
Method: DFT, PBEsol
State: relaxed

Computed properties:
For the energy above the lowest structure with this stoichiometry, the calculation gives 1.708 eV/atom. Its formation energy from raw total energies is 451 kJ/mol of formula units.

POSCAR file:
```
CsGaSe3
1.0
-2.0529 0.3102 5.3406
4.1381 -3.5333 1.7959
3.3904 4.5003 1.0419
Cs Ga Se
1 1 3
Cartesian
0.0000 0.0000 0.0000
2.7378 0.6386 4.0892
2.0690 -1.7666 0.8979
1.6952 2.2501 0.5209
-1.0265 0.1551 2.6703
```

---

Material: Cd2TeAu
Method: DFT, PBEsol
State: relaxed

Computed properties:
Its formation energy from raw total energies is 29 kJ/mol of formula units.

POSCAR file:
```
Cd2TeAu
1.0
4.4568 0.0000 0.0000
0.0000 4.3454 0.0000
-2.2284 -2.1727 4.4646
Te Au Cd
1 1 2
Cartesian
2.2284 0.0000 0.0000
0.0000 2.1727 0.0000
2.2284 2.1727 2.2589
0.0000 0.0000 2.2057
```

---

Material: Mn2CoOs
Method: DFT, PBEsol
State: relaxed

Computed properties:
For the energy of formation from the pure elements, the calculation gives 0.033 eV/atom.

POSCAR file:
```
Mn2CoOs
1.0
3.5745 0.0000 0.0000
0.0000 3.5745 0.0000
-1.7873 -1.7873 3.5226
Co Mn Os
1 2 1
Cartesian
1.7873 1.7873 0.0000
1.7873 0.0000 1.7613
0.0000 1.7873 1.7613
0.0000 0.0000 0.0000
```

---

Material: La6Cu6O17
Method: DFT, PBEsol
State: relaxed

Computed properties:
For the energy above the lowest structure with this stoichiometry, the calculation gives 0.009 eV/atom. Its formation energy from raw total energies is -5730 kJ/mol of formula units.

POSCAR file:
```
La6Cu6O17
1.0
-6.3934 0.9216 1.5471
2.2688 -6.1187 -1.2378
2.2581 -1.1944 10.0427
La Cu O
6 6 17
Cartesian
1.7512 -0.9263 7.7883
-0.0637 -4.0655 2.1586
1.0845 -4.6728 7.2652
0.5069 -0.2681 2.2544
-2.8469 -1.7738 3.5502
-1.9070 -2.2709 7.7302
0.8247 -2.4531 4.8691
1.9771 -5.5612 4.2403
-5.2099 -2.1178 0.9196
-1.2705 -5.0931 5.0262
-2.1027 -2.5657 0.1677
-3.2054 0.4080 0.7692
-0.3697 -2.1160 3.5014
2.0282 -2.7341 6.2414
1.8075 -6.4527 5.8488
-0.6186 -3.7720 -0.3095
0.5104 -4.3691 4.7119
1.1290 -0.5972 5.0214
2.1896 -4.7046 2.6181
-1.3508 -5.7250 3.2928
-2.9111 -4.1051 9.3016
-1.2424 -4.4823 6.7688
-5.2314 -1.3171 2.5769
-2.4362 -3.5577 1.6819
-2.3770 -2.0224 5.6402
-3.5060 -1.4252 0.6188
0.4729 -2.7552 8.7013
-2.2921 -0.4766 9.5940
-1.8639 0.0775 1.9855
```

---

Material: AlTc2Te
Method: DFT, PBEsol
State: relaxed

Computed properties:
For the energy above the lowest structure with this stoichiometry, the calculation gives 0.245 eV/atom. Its formation energy from raw total energies is 89 kJ/mol of formula units.

POSCAR file:
```
AlTc2Te
1.0
-2.5271 1.2880 1.1165
-2.7383 -1.0816 -0.7898
-1.5588 -5.1636 6.5913
Te Tc Al
1 2 1
Cartesian
-3.4092 -2.5629 3.5634
-1.5590 -5.1577 6.5840
-5.1160 -3.7818 5.2677
-1.7115 -1.0971 1.5533
```

---

Material: TaIrAu
Method: DFT, PBEsol
State: relaxed

Computed properties:
For the energy above the lowest structure with this stoichiometry, the calculation gives 0.000 eV/atom. For the energy of formation from the pure elements, the calculation gives -0.363 eV/atom.

POSCAR file:
```
TaIrAu
1.0
-2.4298 -0.7343 1.4182
0.7666 -3.7128 -0.6086
3.0146 2.0731 3.2616
Ir Au Ta
1 1 1
Cartesian
-0.0762 -2.2754 1.6741
0.0009 0.0002 0.0009
1.4269 -0.0982 2.3961
```

---

Material: Sr2FeSnO6
Method: DFT, PBEsol
State: relaxed

Computed properties:
For the energy above the lowest structure with this stoichiometry, the calculation gives 0.027 eV/atom. Its formation energy from raw total energies is -2008 kJ/mol of formula units.

POSCAR file:
```
Sr2FeSnO6
1.0
-1.6376 3.6140 -3.8985
-1.6016 -1.8383 -4.9996
-5.3570 0.2625 -1.4747
Sr Fe Sn O
2 1 1 6
Cartesian
-2.1490 0.5096 -2.5932
-6.4471 1.5287 -7.7797
0.0000 0.0000 0.0000
-4.2981 1.0191 -5.1864
-3.7488 1.4115 -7.1116
-4.8473 0.6267 -3.2613
-5.6966 2.5012 -5.2833
-2.8995 -0.4629 -5.0896
-2.9181 2.3650 -4.5184
-5.6780 -0.3268 -5.8545
```

---

Material: NiIr2Rh
Method: DFT, PBEsol
State: relaxed

Computed properties:
For the energy of formation from the pure elements, the calculation gives 0.013 eV/atom.

POSCAR file:
```
NiIr2Rh
1.0
-0.6967 1.1905 -2.2940
-1.5521 -4.2886 -0.1926
-3.5061 2.0367 2.1218
Ni Ir Rh
1 2 1
Cartesian
-1.7530 1.0183 1.0609
-3.8970 0.2897 -0.2279
-1.8579 -1.3512 -0.1370
-0.3483 0.5953 -1.1470
```

---

Material: SiRh2Cl
Method: DFT, PBEsol
State: relaxed

Computed properties:
For the energy above the lowest structure with this stoichiometry, the calculation gives 0.424 eV/atom. Its formation energy from raw total energies is 24 kJ/mol of formula units.

POSCAR file:
```
SiRh2Cl
1.0
2.9686 0.0000 0.0000
1.4843 2.5708 0.0000
1.4843 0.8569 7.5189
Cl Rh Si
1 2 1
Cartesian
4.4528 2.5708 5.5352
1.4843 0.8569 7.4690
1.4843 0.8569 2.1221
2.9686 1.7139 3.6710
```

---

Material: Li2AsRu
Method: DFT, PBEsol
State: relaxed

Computed properties:
For the energy of formation from the pure elements, the calculation gives 0.053 eV/atom.

POSCAR file:
```
Li2AsRu
1.0
3.5436 0.0000 0.0000
0.0000 3.5436 0.0000
-1.7718 -1.7718 9.2423
Ru As Li
2 2 4
Cartesian
0.0000 1.7718 4.6211
0.0000 0.0000 0.0000
1.7718 0.0000 4.6211
1.7718 1.7718 0.0000
0.8909 2.6577 2.3106
2.6527 0.8859 2.3106
-0.8859 -0.8809 6.9317
0.8859 0.8809 6.9317
```

---

Material: TlFeSi2
Method: DFT, PBEsol
State: relaxed

Computed properties:
For the energy above the lowest structure with this stoichiometry, the calculation gives 0.355 eV/atom. Its formation energy from raw total energies is 272 kJ/mol of formula units.

POSCAR file:
```
TlFeSi2
1.0
-1.7799 -3.2439 0.5817
0.8324 -1.1615 -3.9306
3.5845 -1.7386 1.2728
Fe Si Tl
1 2 1
Cartesian
-0.8900 -1.6220 0.2908
1.7923 -0.8693 0.6364
0.4162 -0.5807 -1.9653
1.3185 -3.0720 -1.0381
```

---

Material: BaCaMg2Cd
Method: DFT, PBEsol
State: relaxed

Computed properties:
For the energy of formation from the pure elements, the calculation gives 0.722 eV/atom.

POSCAR file:
```
BaCaMg2Cd
1.0
-1.4709 -4.6651 -3.3885
5.4359 -2.4159 0.9664
-2.1334 -2.8566 4.8588
Mg Ca Ba Cd
2 1 1 1
Cartesian
-1.0667 -1.4283 2.4294
2.7179 -1.2079 0.4832
0.9158 -4.9688 1.2183
0.0000 0.0000 0.0000
-0.7355 -2.3326 -1.6943
```

---

For reference, theoretical density by record: 6.7, 4.4, 9.2, 5.1, 8.8, 14.7, 10.1, 10.1, 13.2, 6.7, 9.7, 11.0, 12.3, 5.9, 5.6, 11.5, 3.9, 10.6, 13.2, 6.2, 8.7, 19.9, 6.1, 17.3, 7.8, 5.4, 8.0, 2.6 g/cm³.
For reference, calculated total energy by record: -6.82, -2.75, -2.72, -6.27, -6.24, -7.01, -6.92, -7.85, -2.99, -6.38, -4.42, -3.88, -7.86, -7.99, -8.30, -6.89, -2.23, -2.39, -9.84, -7.13, -7.31, -9.13, -6.92, -8.47, -5.94, -4.75, -5.07, -1.06 eV per atom.